[1]
DFT (GGA-PBEsol) results for Li4Ge9O20 after structural relaxation.

a = 7.2926 Å, b = 7.2926 Å, c = 7.5467 Å
α = 90.04°, β = 90.04°, γ = 64.87°
Positions (direct):
Li  0.0000  0.0000  0.0000
Li  0.2232  0.4409  0.6384
Li  0.5591  0.7768  0.3616
Li  0.6221  0.3779  0.0000
Ge  0.0588  0.9412  0.5000
Ge  0.2041  0.5934  0.2386
Ge  0.3647  0.1184  0.0439
Ge  0.4066  0.7959  0.7614
Ge  0.6163  0.1908  0.3324
Ge  0.6244  0.0684  0.7044
Ge  0.8092  0.3837  0.6676
Ge  0.8816  0.6353  0.9561
Ge  0.9316  0.3756  0.2956
O  0.0435  0.1913  0.5087
O  0.0699  0.5223  0.3951
O  0.0776  0.6972  0.0376
O  0.1264  0.2886  0.1196
O  0.1863  0.7752  0.6768
O  0.2248  0.8137  0.3232
O  0.3028  0.9224  0.9624
O  0.4294  0.2351  0.8664
O  0.4493  0.4130  0.1967
O  0.4777  0.9301  0.6049
O  0.5017  0.2795  0.5416
O  0.5339  0.0186  0.2254
O  0.5870  0.5507  0.8033
O  0.7114  0.8736  0.8804
O  0.7205  0.4983  0.4584
O  0.7649  0.5706  0.1336
O  0.8087  0.9565  0.4913
O  0.8162  0.1661  0.7848
O  0.8339  0.1838  0.2152
O  0.9814  0.4661  0.7746

Calculated values
Its space group is No. 5. The calculation puts the density of states at the Fermi level at 0.000 states/eV/atom. The calculation puts the formation energy without anion corrections at -58.90 eV/f.u. As for the theoretical density: 4.58 Mg/m³.

[2]
DFT (GGA-PBEsol) results for LiGe2P3O12 after structural relaxation.

a = 8.3393 Å, b = 8.3393 Å, c = 8.3393 Å
α = 59.88°, β = 59.88°, γ = 59.88°
Positions (direct):
Li  0.0000  0.0000  0.0000
Li  0.5000  0.5000  0.5000
Ge  0.1403  0.1403  0.1403
Ge  0.3597  0.3597  0.3597
Ge  0.6403  0.6403  0.6403
Ge  0.8597  0.8597  0.8597
P  0.0385  0.7499  0.4616
P  0.2501  0.5384  0.9615
P  0.4616  0.0385  0.7499
P  0.5384  0.9615  0.2501
P  0.7499  0.4616  0.0385
P  0.9615  0.2501  0.5384
O  0.0083  0.7979  0.6311
O  0.0516  0.9243  0.2662
O  0.0757  0.7338  0.9484
O  0.1283  0.3035  0.5058
O  0.2021  0.3689  0.9917
O  0.2374  0.5807  0.4398
O  0.2662  0.0516  0.9243
O  0.3035  0.5058  0.1283
O  0.3689  0.9917  0.2021
O  0.4193  0.5602  0.7626
O  0.4398  0.2374  0.5807
O  0.4942  0.8717  0.6965
O  0.5058  0.1283  0.3035
O  0.5602  0.7626  0.4193
O  0.5807  0.4398  0.2374
O  0.6311  0.0083  0.7979
O  0.6965  0.4942  0.8717
O  0.7338  0.9484  0.0757
O  0.7626  0.4193  0.5602
O  0.7979  0.6311  0.0083
O  0.8717  0.6965  0.4942
O  0.9243  0.2662  0.0516
O  0.9484  0.0757  0.7338
O  0.9917  0.2021  0.3689

Calculated values
Its space group is No. 148. The calculation puts the density of states at the Fermi level at 0.000 states/eV/atom. The calculation puts the formation energy without anion corrections at -37.14 eV/f.u. As for the theoretical density: 3.55 Mg/m³.

[3]
DFT (GGA-PBEsol) results for LiGePO2 after structural relaxation.

a = 3.6235 Å, b = 3.6235 Å, c = 5.1958 Å
α = 90.00°, β = 90.00°, γ = 90.00°
Positions (direct):
Li  0.0000  0.0000  0.0000
Ge  0.5000  0.5000  0.5000
P  0.5000  0.5000  0.0000
O  0.0000  0.5000  0.5000
O  0.5000  0.0000  0.5000

Calculated values
Its space group is No. 123. The calculation puts the density of states at the Fermi level at 0.726 states/eV/atom. The calculation puts the formation energy without anion corrections at -2.16 eV/f.u. As for the theoretical density: 3.47 Mg/m³.